[1]
PmLuPd2 | GGA-PBE | relaxed

```
data_PmLuPd2
_chemical_formula_sum 'Pm4 Lu4 Pd8'
_cell_length_a 7.0541
_cell_length_b 7.0541
_cell_length_c 7.0541
_cell_angle_alpha 90.00
_cell_angle_beta 90.00
_cell_angle_gamma 90.00
_symmetry_space_group_name_H-M 'F m -3 m'
_symmetry_Int_Tables_number 225
_symmetry_space_group_name_Hall '-F 4 2 3'
loop_
_atom_site_label
_atom_site_type_symbol
_atom_site_fract_x
_atom_site_fract_y
_atom_site_fract_z
Pm1 Pm 0.0000 0.0000 0.0000
Lu1 Lu 0.0000 0.0000 0.5000
Pd1 Pd 0.2500 0.2500 0.2500
```

Calculated values
Energy above the most stable polymorph in this dataset in meV/atom: 7
Formation energy in eV per formula unit: -3.395

[2]
LiTl2SnHg6 | GGA-PBE | relaxed

```
data_LiTl2SnHg6
_chemical_formula_sum 'Li1 Tl2 Sn1 Hg6'
_cell_length_a 6.1272
_cell_length_b 6.6000
_cell_length_c 6.7295
_cell_angle_alpha 99.67
_cell_angle_beta 92.63
_cell_angle_gamma 90.09
_symmetry_space_group_name_H-M 'P -1'
_symmetry_Int_Tables_number 2
_symmetry_space_group_name_Hall '-P 1'
loop_
_atom_site_label
_atom_site_type_symbol
_atom_site_fract_x
_atom_site_fract_y
_atom_site_fract_z
Li1 Li 0.0000 0.0000 0.0000
Tl1 Tl 0.2539 0.3955 0.8980
Sn1 Sn 0.5000 0.5000 0.5000
Hg1 Hg 0.0742 0.2775 0.3578
Hg2 Hg 0.2261 0.8064 0.2865
Hg3 Hg 0.3920 0.9018 0.7873
```

Calculated values
Formation energy in eV per formula unit: -0.443

[3]
NdDy3Y2Ho6 | GGA-PBE | relaxed

```
data_NdDy3Y2Ho6
_chemical_formula_sum 'Nd2 Dy6 Y4 Ho12'
_cell_length_a 6.1486
_cell_length_b 10.6394
_cell_length_c 11.7660
_cell_angle_alpha 90.00
_cell_angle_beta 99.97
_cell_angle_gamma 90.00
_symmetry_space_group_name_H-M 'C 1 2/m 1'
_symmetry_Int_Tables_number 12
_symmetry_space_group_name_Hall '-C 2y'
loop_
_atom_site_label
_atom_site_type_symbol
_atom_site_fract_x
_atom_site_fract_y
_atom_site_fract_z
Nd1 Nd 0.0000 0.0000 0.0000
Dy1 Dy 0.0000 0.1669 0.5000
Dy2 Dy 0.0000 0.5000 0.5000
Y1 Y 0.0000 0.3333 0.0000
Ho1 Ho 0.2488 0.0000 0.7480
Ho2 Ho 0.2487 0.3334 0.7478
```

Calculated values
Formation energy in eV per formula unit: 0.229

Which value of formation energy does entry 2 give? -0.443 eV per formula unit